1.
VASP calculation (GGA-PBE) on a relaxed Cs2Ag2Br crystal.

```
Cs2Ag2Br
1.0
4.135 0.000 0.000
0.000 4.135 0.000
0.000 0.000 21.436
Cs Ag Br
4 4 2
Cartesian
0.000 0.000 2.225
0.000 0.000 19.211
2.067 2.067 8.493
2.067 2.067 12.943
0.000 2.067 5.359
0.000 2.067 16.077
2.067 0.000 5.359
2.067 0.000 16.077
0.000 0.000 10.718
2.067 2.067 0.000
```

Magnetization: 0.0 μB/f.u.
Energy above the lowest structure with this stoichiometry: 0 meV/atom
Uncorrected formation energy: -0.591 eV/atom
Density: 5.09 g/cm³
DOS at the Fermi energy: 2.6 states/eV per cell


2.
VASP calculation (GGA-PBE) on a relaxed InAgPCl2 crystal.

```
InAgPCl2
1.0
5.311 0.000 0.000
0.000 5.311 0.000
0.000 0.000 4.888
In Ag P Cl
1 1 1 2
Cartesian
0.000 0.000 0.000
2.655 2.655 2.444
2.655 2.655 0.000
0.000 2.655 2.444
2.655 0.000 2.444
```

Magnetization: 2.2 μB/f.u.
Energy above the lowest structure with this stoichiometry: 0 meV/atom
Uncorrected formation energy: 0.080 eV/atom
Density: 3.91 g/cm³
DOS at the Fermi energy: 2.0 states/eV per cell


3.
VASP calculation (GGA-PBE) on a relaxed In2FeTc crystal.

```
In2FeTc
1.0
6.288 0.000 0.000
0.000 6.297 0.000
0.000 0.000 3.422
In Fe Tc
4 2 2
Cartesian
1.572 1.574 0.000
1.572 4.723 0.000
4.716 1.574 0.000
4.716 4.723 0.000
0.000 0.000 1.711
3.144 3.149 1.711
0.000 3.149 1.711
3.144 0.000 1.711
```

Magnetization: 2.5 μB/f.u.
Energy above the lowest structure with this stoichiometry: 111 meV/atom
Energy relative to the elements: 32.3 kJ/mol of atoms
Density: 9.40 g/cm³
DOS at the Fermi energy: 9.5 states/eV per cell


4.
VASP calculation (GGA-PBE) on a relaxed NaCuBr4 crystal.

```
NaCuBr4
1.0
8.937 0.000 0.000
0.000 9.586 0.000
0.000 0.000 4.037
Na Cu Br
2 2 8
Cartesian
0.000 0.000 0.000
4.469 4.793 0.000
0.000 4.793 2.019
4.469 0.000 2.019
0.000 3.106 0.000
0.000 6.480 0.000
2.010 0.000 2.019
2.459 4.793 2.019
4.469 1.687 0.000
4.469 7.899 0.000
6.479 4.793 2.019
6.927 0.000 2.019
```

Magnetization: 1.7 μB/f.u.
Uncorrected formation energy: -0.477 eV/atom
Density: 3.90 g/cm³
DOS at the Fermi energy: 15.2 states/eV per cell